# SmRhPb, optimized geometry, DFT PBE
data_SmRhPb
_chemical_formula_sum 'Sm1 Rh1 Pb1'
_cell_length_a 4.7931
_cell_length_b 4.7931
_cell_length_c 3.5248
_cell_angle_alpha 90.00
_cell_angle_beta 90.00
_cell_angle_gamma 120.00
_space_group_name_H-M_alt 'P -6 m 2'
_space_group_IT_number 187
_space_group_name_Hall 'P -6 2'
loop_
_atom_site_label
_atom_site_type_symbol
_atom_site_fract_x
_atom_site_fract_y
_atom_site_fract_z
Sm1 Sm 0.0000 0.0000 0.0000
Rh1 Rh 0.3333 0.6667 0.5000
Pb1 Pb 0.6667 0.3333 0.5000
# N(E_F): 2.557 states/eV per cell
# Formation energy: -494 meV/atom
# Size of the total moment: 0.000 μB per atom
# DFT total energy: -5.753 eV per atom

---

# HBr, optimized geometry, DFT PBE
data_HBr
_chemical_formula_sum 'H4 Br4'
_cell_length_a 5.4525
_cell_length_b 7.1998
_cell_length_c 5.7572
_cell_angle_alpha 90.00
_cell_angle_beta 90.00
_cell_angle_gamma 90.00
_space_group_name_H-M_alt 'P n m a'
_space_group_IT_number 62
loop_
_space_group_symop_operation_xyz
'x,y,z'
'-x,-y,-z'
'-x+1/2,-y,z+1/2'
'x+1/2,y,-z+1/2'
'x+1/2,-y+1/2,-z+1/2'
'-x+1/2,y+1/2,z+1/2'
'-x,y+1/2,-z'
'x,-y+1/2,z'
loop_
_atom_site_label
_atom_site_type_symbol
_atom_site_fract_x
_atom_site_fract_y
_atom_site_fract_z
H1 H 0.0557 0.2500 0.1989
Br1 Br 0.2500 0.2500 0.0220
# N(E_F): 0.000 states/eV per cell
# Size of the total moment: 0.000 μB per atom
# DFT total energy: -2.764 eV per atom

---

# PmSbAu, optimized geometry, DFT PBE
data_PmSbAu
_chemical_formula_sum 'Pm4 Sb4 Au4'
_cell_length_a 6.9125
_cell_length_b 6.9125
_cell_length_c 6.9125
_cell_angle_alpha 90.00
_cell_angle_beta 90.00
_cell_angle_gamma 90.00
_space_group_name_H-M_alt 'F -4 3 m'
_space_group_IT_number 216
_space_group_name_Hall 'F -4 2 3'
loop_
_atom_site_label
_atom_site_type_symbol
_atom_site_fract_x
_atom_site_fract_y
_atom_site_fract_z
Pm1 Pm 0.0000 0.0000 0.0000
Sb1 Sb 0.0000 0.0000 0.5000
Au1 Au 0.2500 0.2500 0.2500
# N(E_F): 8.626 states/eV per cell
# Formation energy from raw total energies: -0.751 eV per atom
# Size of the total moment: 0.000 μB per atom
# DFT total energy: -4.801 eV per atom

---

# Sc4BeCd3, optimized geometry, DFT PBE
data_Sc4BeCd3
_chemical_formula_sum 'Sc4 Be1 Cd3'
_cell_length_a 3.2504
_cell_length_b 3.2504
_cell_length_c 15.4805
_cell_angle_alpha 90.00
_cell_angle_beta 90.00
_cell_angle_gamma 90.00
_space_group_name_H-M_alt 'P 4/m m m'
_space_group_IT_number 123
_space_group_name_Hall '-P 4 2'
loop_
_atom_site_label
_atom_site_type_symbol
_atom_site_fract_x
_atom_site_fract_y
_atom_site_fract_z
Sc1 Sc 0.0000 0.0000 0.0973
Sc2 Sc 0.0000 0.0000 0.3645
Be1 Be 0.5000 0.5000 0.0000
Cd1 Cd 0.5000 0.5000 0.2306
Cd2 Cd 0.5000 0.5000 0.5000
# N(E_F): 6.627 states/eV per cell
# Formation energy: -225 meV/atom
# Size of the total moment: 0.041 μB per atom
# DFT total energy: -4.199 eV per atom